{
  "formula": "CrBiNO2",
  "functional": "PBE+U",
  "state": "optimized geometry",
  "lattice": [[-1.306, -2.463, -2.141], [5.376, 0.006, -3.286], [1.287, -2.508, 2.100]],
  "species": ["Cr", "Bi", "O", "O", "N"],
  "frac_coords": [[0.000, 0.000, 0.000], [0.000, 0.500, 0.000], [0.000, 0.000, 0.500], [0.500, 0.000, 0.000], [0.500, 0.500, 0.500]],
  "dft_energy_ev_per_atom": -5.8082
}